# Ta2MnCd GGA-PBE optimized geometry
# **Energy of formation**: 0.3040 eV per atom
# **Crystal system**: orthorhombic
data_Ta2MnCd
_space_group_name_H-M_alt 'P 1'
_space_group_IT_number 1
_cell_length_a 2.8188
_cell_length_b 4.2374
_cell_length_c 5.7619
_cell_angle_alpha 90.00
_cell_angle_beta 90.00
_cell_angle_gamma 90.00
loop_
_space_group_symop_operation_xyz
'x,y,z'
loop_
_atom_site_label
_atom_site_type_symbol
_atom_site_fract_x
_atom_site_fract_y
_atom_site_fract_z
_atom_site_occupancy
Cd1 Cd 0.5000 0.5000 0.2500 1
Mn1 Mn 0.5000 0.5000 0.7500 1
Ta1 Ta 0.0000 0.0000 0.9831 1
Ta2 Ta 0.0000 0.0000 0.5169 1


# TaMnCd2 GGA-PBE optimized geometry
# **Energy of formation**: 0.3619 eV per atom
# **ΔE to the lowest computed polymorph**: 0.68 eV per formula unit
# **Crystal system**: orthorhombic
data_TaMnCd2
_space_group_name_H-M_alt 'P 1'
_space_group_IT_number 1
_cell_length_a 5.5993
_cell_length_b 5.5993
_cell_length_c 5.5993
_cell_angle_alpha 147.96
_cell_angle_beta 127.29
_cell_angle_gamma 63.03
loop_
_space_group_symop_operation_xyz
'x,y,z'
loop_
_atom_site_label
_atom_site_type_symbol
_atom_site_fract_x
_atom_site_fract_y
_atom_site_fract_z
_atom_site_occupancy
Mn1 Mn 0.4817 0.4817 0.0000 1
Ta1 Ta 0.2832 0.7832 0.5000 1
Cd1 Cd 0.7315 0.2315 0.5000 1
Cd2 Cd 0.0036 0.0036 0.0000 1


# Ta2MnCd GGA-PBE optimized geometry
# **Energy of formation**: 0.2898 eV per atom
# **Crystal system**: trigonal
data_Ta2MnCd
_space_group_name_H-M_alt 'P 1'
_space_group_IT_number 1
_cell_length_a 8.9422
_cell_length_b 8.9422
_cell_length_c 8.9422
_cell_angle_alpha 19.50
_cell_angle_beta 19.50
_cell_angle_gamma 19.50
loop_
_space_group_symop_operation_xyz
'x,y,z'
loop_
_atom_site_label
_atom_site_type_symbol
_atom_site_fract_x
_atom_site_fract_y
_atom_site_fract_z
_atom_site_occupancy
Ta1 Ta 0.4863 0.4863 0.4863 1
Ta2 Ta 0.0137 0.0137 0.0137 1
Mn1 Mn 0.7500 0.7500 0.7500 1
Cd1 Cd 0.2500 0.2500 0.2500 1


# TaMn2Cd GGA-PBE optimized geometry
# **Energy of formation**: 0.3020 eV per atom
# **Crystal system**: monoclinic
data_TaMn2Cd
_space_group_name_H-M_alt 'P 1'
_space_group_IT_number 1
_cell_length_a 5.1757
_cell_length_b 5.1757
_cell_length_c 4.7713
_cell_angle_alpha 70.29
_cell_angle_beta 70.29
_cell_angle_gamma 31.76
loop_
_space_group_symop_operation_xyz
'x,y,z'
loop_
_atom_site_label
_atom_site_type_symbol
_atom_site_fract_x
_atom_site_fract_y
_atom_site_fract_z
_atom_site_occupancy
Mn1 Mn 0.0267 0.0267 0.0100 1
Mn2 Mn 0.7292 0.7292 0.7344 1
Ta1 Ta 0.4788 0.4788 0.5469 1
Cd1 Cd 0.2652 0.2652 0.2088 1


# TaMn2Cd GGA-PBE optimized geometry
# **Energy of formation**: 0.3412 eV per atom
# **Crystal system**: monoclinic
data_TaMn2Cd
_space_group_name_H-M_alt 'P 1'
_space_group_IT_number 1
_cell_length_a 4.2677
_cell_length_b 2.7998
_cell_length_c 5.6036
_cell_angle_alpha 72.51
_cell_angle_beta 90.00
_cell_angle_gamma 90.00
loop_
_space_group_symop_operation_xyz
'x,y,z'
loop_
_atom_site_label
_atom_site_type_symbol
_atom_site_fract_x
_atom_site_fract_y
_atom_site_fract_z
_atom_site_occupancy
Mn1 Mn 0.5000 0.1687 0.2593 1
Mn2 Mn 0.0000 0.0661 0.0096 1
Ta1 Ta 0.0000 0.4945 0.4542 1
Cd1 Cd 0.5000 0.7707 0.7768 1


# TaMn2Cd GGA-PBE optimized geometry
# **Energy of formation**: 0.1265 eV per atom
# **Crystal system**: tetragonal
data_TaMn2Cd
_space_group_name_H-M_alt 'P 1'
_space_group_IT_number 1
_cell_length_a 3.1754
_cell_length_b 3.1747
_cell_length_c 6.2256
_cell_angle_alpha 90.00
_cell_angle_beta 90.00
_cell_angle_gamma 90.00
loop_
_space_group_symop_operation_xyz
'x,y,z'
loop_
_atom_site_label
_atom_site_type_symbol
_atom_site_fract_x
_atom_site_fract_y
_atom_site_fract_z
_atom_site_occupancy
Cd1 Cd 0.5000 0.5000 0.7500 1
Mn1 Mn 0.0000 0.0000 0.0289 1
Mn2 Mn 0.0000 0.0000 0.4711 1
Ta1 Ta 0.5000 0.5000 0.2500 1


# Ta2Mn2Cd GGA-PBE optimized geometry
# **Energy of formation**: 0.2088 eV per atom
# **Crystal system**: tetragonal
data_Ta2Mn2Cd
_space_group_name_H-M_alt 'P 1'
_space_group_IT_number 1
_cell_length_a 7.1538
_cell_length_b 7.1538
_cell_length_c 3.1743
_cell_angle_alpha 90.00
_cell_angle_beta 90.00
_cell_angle_gamma 90.00
loop_
_space_group_symop_operation_xyz
'x,y,z'
loop_
_atom_site_label
_atom_site_type_symbol
_atom_site_fract_x
_atom_site_fract_y
_atom_site_fract_z
_atom_site_occupancy
Ta1 Ta 0.3301 0.1699 0.5000 1
Ta2 Ta 0.8301 0.3301 0.5000 1
Ta3 Ta 0.1699 0.6699 0.5000 1
Ta4 Ta 0.6699 0.8301 0.5000 1
Mn1 Mn 0.6237 0.1237 0.0000 1
Mn2 Mn 0.3763 0.8763 0.0000 1
Mn3 Mn 0.1237 0.3763 0.0000 1
Mn4 Mn 0.8763 0.6237 0.0000 1
Cd1 Cd 0.0000 0.0000 0.0000 1
Cd2 Cd 0.5000 0.5000 0.0000 1


# TaMnCd2 GGA-PBE optimized geometry
# **Energy of formation**: 0.4569 eV per atom
# **ΔE to the lowest computed polymorph**: 1.06 eV per formula unit
# **Crystal system**: cubic
data_TaMnCd2
_space_group_name_H-M_alt 'P 1'
_space_group_IT_number 1
_cell_length_a 4.6759
_cell_length_b 4.6759
_cell_length_c 4.6759
_cell_angle_alpha 60.00
_cell_angle_beta 60.00
_cell_angle_gamma 60.00
loop_
_space_group_symop_operation_xyz
'x,y,z'
loop_
_atom_site_label
_atom_site_type_symbol
_atom_site_fract_x
_atom_site_fract_y
_atom_site_fract_z
_atom_site_occupancy
Mn1 Mn 0.5000 0.5000 0.5000 1
Ta1 Ta 0.7500 0.7500 0.7500 1
Cd1 Cd 0.2500 0.2500 0.2500 1
Cd2 Cd 0.0000 0.0000 0.0000 1


Among the records above, which one has the highest energy of formation? number 8


Which of these has the lowest energy of formation? number 6


Which of these has the highest energy of formation? number 8